{"formula": "Pu3CuSe6", "functional": "PBE-GGA", "state": "optimized geometry", "cell": [[-4.2208, 5.0685, 0.9514], [-6.1830, -4.2870, -4.5919], [-1.6033, -2.8703, 8.1783]], "species": ["Pu", "Pu", "Pu", "Pu", "Pu", "Pu", "Cu", "Cu", "Se", "Se", "Se", "Se", "Se", "Se", "Se", "Se", "Se", "Se", "Se", "Se"], "fractional_positions": [[0.4746, 0.9255, 0.7214], [0.9746, 0.7214, 0.9255], [0.3849, 0.3918, 0.6082], [0.8849, 0.6082, 0.3918], [0.9746, 0.0745, 0.2786], [0.4746, 0.2786, 0.0745], [0.0394, 0.2007, 0.7993], [0.5394, 0.7993, 0.2007], [0.1795, 0.6933, 0.6300], [0.6795, 0.6300, 0.6933], [0.2023, 0.4436, 0.9073], [0.7023, 0.9073, 0.4436], [0.1771, 0.0339, 0.9661], [0.6711, 0.2226, 0.7774], [0.1711, 0.7774, 0.2226], [0.6771, 0.9661, 0.0339], [0.2023, 0.0927, 0.5564], [0.7023, 0.5564, 0.0927], [0.1795, 0.3700, 0.3067], [0.6795, 0.3067, 0.3700]], "mass_density_kg_m3": 8305, "m_tot_mub_per_cell": 26.0, "e_form_raw_kj_per_mol_atoms": -110.7, "total_energy_ev_per_atom": -7.95}

---

{"formula": "Sm2PuCuSe5", "functional": "PBE-GGA", "state": "optimized geometry", "cell": [[4.0574, 0.0000, 0.0000], [-2.0287, 8.8909, 0.0000], [0.0000, 0.0000, 12.0438]], "species": ["Sm", "Sm", "Sm", "Sm", "Pu", "Pu", "Cu", "Cu", "Se", "Se", "Se", "Se", "Se", "Se", "Se", "Se", "Se", "Se"], "fractional_positions": [[0.8798, 0.7596, 0.8088], [0.1074, 0.2148, 0.6853], [0.1202, 0.2404, 0.3088], [0.8926, 0.7852, 0.1853], [0.8020, 0.6040, 0.5101], [0.1980, 0.3960, 0.0101], [0.5639, 0.1279, 0.9552], [0.4361, 0.8721, 0.4552], [0.3615, 0.7230, 0.0016], [0.6838, 0.3675, 0.8432], [0.4989, 0.9979, 0.7792], [0.2906, 0.5811, 0.6781], [0.9557, 0.9113, 0.5626], [0.6385, 0.2770, 0.5016], [0.3162, 0.6325, 0.3432], [0.5011, 0.0021, 0.2792], [0.7094, 0.4189, 0.1781], [0.0443, 0.0887, 0.0626]], "mass_density_kg_m3": 7668, "m_tot_mub_per_cell": 10.0, "e_form_raw_kj_per_mol_atoms": -138.7, "total_energy_ev_per_atom": -6.47}

---

{"formula": "SrPu4Cu3Se12", "functional": "PBE-GGA", "state": "optimized geometry", "cell": [[-3.9692, 7.5399, -2.3764], [-5.8243, -5.2248, 4.1267], [6.7273, 1.8011, 5.4544]], "species": ["Sr", "Pu", "Pu", "Pu", "Pu", "Cu", "Cu", "Cu", "Se", "Se", "Se", "Se", "Se", "Se", "Se", "Se", "Se", "Se", "Se", "Se"], "fractional_positions": [[0.0000, 0.0000, 0.0000], [0.5000, 0.0000, 0.0000], [0.5000, 0.5000, 0.5000], [0.0000, 0.5000, 0.0000], [0.0000, 0.0000, 0.5000], [0.0000, 0.5000, 0.5000], [0.5000, 0.5000, 0.0000], [0.5000, 0.0000, 0.5000], [0.3186, 0.8427, 0.1613], [0.6814, 0.1573, 0.8387], [0.6814, 0.8427, 0.5240], [0.8387, 0.6814, 0.1573], [0.8427, 0.1613, 0.3186], [0.1573, 0.4760, 0.3186], [0.4760, 0.3186, 0.1573], [0.1573, 0.8387, 0.6814], [0.3186, 0.1573, 0.4760], [0.1613, 0.3186, 0.8427], [0.8427, 0.5240, 0.6814], [0.5240, 0.6814, 0.8427]], "mass_density_kg_m3": 6861, "m_tot_mub_per_cell": 17.9, "e_form_raw_kj_per_mol_atoms": -79.8, "total_energy_ev_per_atom": -6.48}

---

{"formula": "Sr2PuCuSe5", "functional": "PBE-GGA", "state": "optimized geometry", "cell": [[4.1700, 0.0000, 0.0000], [-2.0850, 9.0912, 0.0000], [0.0000, 0.0000, 12.6903]], "species": ["Sr", "Sr", "Sr", "Sr", "Pu", "Pu", "Cu", "Cu", "Se", "Se", "Se", "Se", "Se", "Se", "Se", "Se", "Se", "Se"], "fractional_positions": [[0.8846, 0.7691, 0.8339], [0.1163, 0.2326, 0.6939], [0.1154, 0.2309, 0.3339], [0.8837, 0.7674, 0.1939], [0.8014, 0.6029, 0.5214], [0.1986, 0.3971, 0.0214], [0.5667, 0.1335, 0.9296], [0.4333, 0.8665, 0.4296], [0.3518, 0.7037, 0.0144], [0.6966, 0.3932, 0.8690], [0.5002, 0.0003, 0.7662], [0.2998, 0.5996, 0.6715], [0.9538, 0.9077, 0.5239], [0.6482, 0.2963, 0.5144], [0.3034, 0.6068, 0.3690], [0.4998, 0.9997, 0.2662], [0.7002, 0.4004, 0.1715], [0.0462, 0.0923, 0.0239]], "mass_density_kg_m3": 6058, "m_tot_mub_per_cell": 6.8, "e_form_raw_kj_per_mol_atoms": -129.6, "total_energy_ev_per_atom": -5.70}